Run A
Here is YZnNO after structural relaxation from OQMD via LeMat-Bulk. Energies are from PBE. Values from VASP.

Structure (Quantum ESPRESSO input):
```
&SYSTEM
  ibrav = 0, nat = 8, ntyp = 4
/
ATOMIC_SPECIES
Y 88.91 Y.upf
Zn 65.41 Zn.upf
N 14.01 N.upf
O 16.00 O.upf
CELL_PARAMETERS angstrom
-2.802 -1.882 -3.389
-2.530 -2.281 3.358
-2.718 3.479 0.315
ATOMIC_POSITIONS crystal
Y 0.500 0.500 0.500
Y 0.000 0.000 0.500
Zn 0.500 0.000 0.998
Zn 0.000 0.500 0.002
N 0.500 0.000 0.501
N 0.000 0.500 0.499
O 0.000 0.000 0.000
O 0.500 0.500 0.000
```

Run B
Here is YZnNO after structural relaxation from OQMD via LeMat-Bulk. Energies are from PBE. Values from VASP.

Structure (Quantum ESPRESSO input):
```
&SYSTEM
  ibrav = 0, nat = 8, ntyp = 4
/
ATOMIC_SPECIES
Zn 65.41 Zn.upf
O 16.00 O.upf
N 14.01 N.upf
Y 88.91 Y.upf
CELL_PARAMETERS angstrom
3.596 0.000 0.000
0.000 5.675 0.000
0.000 0.000 5.887
ATOMIC_POSITIONS crystal
Zn 0.000 0.505 0.344
Zn 0.000 0.005 0.656
O 0.500 0.396 0.163
O 0.500 0.896 0.837
N 0.000 0.849 0.353
N 0.000 0.349 0.647
Y 0.500 0.504 0.804
Y 0.500 0.004 0.196
```

Run C
Here is YZnNO after structural relaxation from OQMD via LeMat-Bulk. Energies are from PBE. Values from VASP.

Structure (Quantum ESPRESSO input):
```
&SYSTEM
  ibrav = 0, nat = 16, ntyp = 4
/
ATOMIC_SPECIES
O 16.00 O.upf
Y 88.91 Y.upf
N 14.01 N.upf
Zn 65.41 Zn.upf
CELL_PARAMETERS angstrom
-3.608 0.347 3.394
-4.284 -5.789 -3.963
2.332 -3.680 2.855
ATOMIC_POSITIONS crystal
O 0.603 0.904 0.077
O 0.603 0.096 0.577
O 0.103 0.096 0.923
O 0.103 0.904 0.423
Y 0.035 0.645 0.517
Y 0.535 0.645 0.983
Y 0.035 0.355 0.017
Y 0.535 0.355 0.483
N 0.549 0.360 0.026
N 0.549 0.640 0.526
N 0.049 0.640 0.974
N 0.049 0.360 0.474
Zn 0.515 0.881 0.459
Zn 0.015 0.881 0.041
Zn 0.515 0.119 0.959
Zn 0.015 0.119 0.541
```

Least stable structure: run A

Run A
Here is YZnNO after structural relaxation from OQMD via LeMat-Bulk. Energies are from PBE. Values from VASP.

Structure (Quantum ESPRESSO input):
```
&SYSTEM
  ibrav = 0, nat = 8, ntyp = 4
/
ATOMIC_SPECIES
Zn 65.41 Zn.upf
Y 88.91 Y.upf
N 14.01 N.upf
O 16.00 O.upf
CELL_PARAMETERS angstrom
-1.851 -3.205 0.000
0.000 0.000 5.107
-5.258 3.036 0.000
ATOMIC_POSITIONS crystal
Zn 0.500 0.975 0.193
Zn 0.500 0.475 0.807
Y 0.000 0.467 0.304
Y 0.000 0.967 0.696
N 0.000 0.427 0.676
N 0.000 0.927 0.324
O 0.500 0.386 0.135
O 0.500 0.886 0.865
```

Run B
Here is YZnNO after structural relaxation from OQMD via LeMat-Bulk. Energies are from PBE. Values from VASP.

Structure (Quantum ESPRESSO input):
```
&SYSTEM
  ibrav = 0, nat = 8, ntyp = 4
/
ATOMIC_SPECIES
Zn 65.41 Zn.upf
N 14.01 N.upf
Y 88.91 Y.upf
O 16.00 O.upf
CELL_PARAMETERS angstrom
-0.880 -3.187 3.458
4.509 0.425 1.540
-1.233 3.277 2.706
ATOMIC_POSITIONS crystal
Zn 0.250 0.250 0.999
Zn 0.750 0.750 0.001
N 0.250 0.250 0.500
N 0.750 0.750 0.500
Y 0.750 0.250 0.500
Y 0.250 0.750 0.500
O 0.750 0.250 0.000
O 0.250 0.750 0.000
```

Least stable structure: run B

Run A
Here is OsN2 after structural relaxation from OQMD via LeMat-Bulk. Energies are from PBE. Values from VASP.

Structure (Quantum ESPRESSO input):
```
&SYSTEM
  ibrav = 0, nat = 3, ntyp = 2
/
ATOMIC_SPECIES
N 14.01 N.upf
Os 190.23 Os.upf
CELL_PARAMETERS angstrom
2.961 0.000 0.000
-1.481 2.565 0.000
0.000 0.000 3.833
ATOMIC_POSITIONS crystal
N 0.667 0.333 0.670
N 0.667 0.333 0.330
Os 0.333 0.667 0.000
```

Run B
Here is OsN2 after structural relaxation from OQMD via LeMat-Bulk. Energies are from PBE. Values from VASP.

Structure (Quantum ESPRESSO input):
```
&SYSTEM
  ibrav = 0, nat = 6, ntyp = 2
/
ATOMIC_SPECIES
N 14.01 N.upf
Os 190.23 Os.upf
CELL_PARAMETERS angstrom
-1.715 -2.487 -0.009
1.431 0.838 2.525
-5.881 4.049 1.989
ATOMIC_POSITIONS crystal
N 0.000 0.000 0.912
N 0.000 0.000 0.088
N 0.000 0.000 0.588
N 0.000 0.000 0.412
Os 0.667 0.333 0.250
Os 0.333 0.667 0.750
```

Least stable structure: run A

Run A
Here is OsN2 after structural relaxation from OQMD via LeMat-Bulk. Energies are from PBE. Values from VASP.

Structure (Quantum ESPRESSO input):
```
&SYSTEM
  ibrav = 0, nat = 6, ntyp = 2
/
ATOMIC_SPECIES
N 14.01 N.upf
Os 190.23 Os.upf
CELL_PARAMETERS angstrom
4.805 0.000 0.000
0.000 4.805 0.000
0.000 0.000 2.782
ATOMIC_POSITIONS crystal
N 0.789 0.211 0.500
N 0.711 0.711 0.000
N 0.289 0.289 0.000
N 0.211 0.789 0.500
Os 0.000 0.000 0.000
Os 0.500 0.500 0.500
```

Run B
Here is OsN2 after structural relaxation from OQMD via LeMat-Bulk. Energies are from PBE. Values from VASP.

Structure (Quantum ESPRESSO input):
```
&SYSTEM
  ibrav = 0, nat = 6, ntyp = 2
/
ATOMIC_SPECIES
N 14.01 N.upf
Os 190.23 Os.upf
CELL_PARAMETERS angstrom
0.000 3.047 3.047
3.047 0.000 3.047
3.047 3.047 0.000
ATOMIC_POSITIONS crystal
N 0.625 0.625 0.125
N 0.625 0.625 0.625
N 0.125 0.625 0.625
N 0.625 0.125 0.625
Os 0.250 0.250 0.250
Os 0.000 0.000 0.000
```

Run C
Here is OsN2 after structural relaxation from OQMD via LeMat-Bulk. Energies are from PBE. Values from VASP.

Structure (Quantum ESPRESSO input):
```
&SYSTEM
  ibrav = 0, nat = 3, ntyp = 2
/
ATOMIC_SPECIES
Os 190.23 Os.upf
N 14.01 N.upf
CELL_PARAMETERS angstrom
0.000 2.425 2.425
2.425 0.000 2.425
2.425 2.425 0.000
ATOMIC_POSITIONS crystal
Os 0.000 0.000 0.000
N 0.250 0.250 0.250
N 0.750 0.750 0.750
```

Least stable structure: run B

Run A
Here is OsN2 after structural relaxation from OQMD via LeMat-Bulk. Energies are from PBE. Values from VASP.

Structure (Quantum ESPRESSO input):
```
&SYSTEM
  ibrav = 0, nat = 6, ntyp = 2
/
ATOMIC_SPECIES
Os 190.23 Os.upf
N 14.01 N.upf
CELL_PARAMETERS angstrom
-2.981 -1.615 4.865
1.962 1.623 5.355
-2.970 4.059 3.141
ATOMIC_POSITIONS crystal
Os 0.500 0.500 0.500
Os 0.250 0.250 0.250
N 0.875 0.375 0.375
N 0.375 0.375 0.375
N 0.375 0.375 0.875
N 0.375 0.875 0.375
```

Run B
Here is OsN2 after structural relaxation from OQMD via LeMat-Bulk. Energies are from PBE. Values from VASP.

Structure (Quantum ESPRESSO input):
```
&SYSTEM
  ibrav = 0, nat = 3, ntyp = 2
/
ATOMIC_SPECIES
N 14.01 N.upf
Os 190.23 Os.upf
CELL_PARAMETERS angstrom
2.806 0.000 0.000
-1.403 2.430 0.000
0.000 0.000 4.948
ATOMIC_POSITIONS crystal
N 0.000 0.000 0.617
N 0.000 0.000 0.383
Os 0.000 0.000 0.000
```

Least stable structure: run A

Run A
Here is OsN after structural relaxation from OQMD via LeMat-Bulk. Energies are from PBE. Values from VASP.

Structure (Quantum ESPRESSO input):
```
&SYSTEM
  ibrav = 0, nat = 4, ntyp = 2
/
ATOMIC_SPECIES
Os 190.23 Os.upf
N 14.01 N.upf
CELL_PARAMETERS angstrom
-1.582 -1.545 1.522
1.621 0.410 2.100
-3.308 4.949 1.587
ATOMIC_POSITIONS crystal
Os 0.000 0.500 0.000
Os 0.500 0.000 0.500
N 0.000 0.000 0.250
N 0.000 0.000 0.750
```

Run B
Here is OsN after structural relaxation from OQMD via LeMat-Bulk. Energies are from PBE. Values from VASP.

Structure (Quantum ESPRESSO input):
```
&SYSTEM
  ibrav = 0, nat = 8, ntyp = 2
/
ATOMIC_SPECIES
Os 190.23 Os.upf
N 14.01 N.upf
CELL_PARAMETERS angstrom
5.490 0.000 0.000
0.000 3.855 0.000
0.000 0.000 4.165
ATOMIC_POSITIONS crystal
Os 0.000 0.500 0.500
Os 0.250 0.000 0.893
Os 0.750 0.000 0.107
Os 0.500 0.500 0.500
N 0.250 0.000 0.381
N 0.750 0.000 0.619
N 0.750 0.500 0.125
N 0.250 0.500 0.875
```

Run C
Here is OsN after structural relaxation from OQMD via LeMat-Bulk. Energies are from PBE. Values from VASP.

Structure (Quantum ESPRESSO input):
```
&SYSTEM
  ibrav = 0, nat = 6, ntyp = 2
/
ATOMIC_SPECIES
N 14.01 N.upf
Os 190.23 Os.upf
CELL_PARAMETERS angstrom
-0.732 3.743 1.370
-3.617 -1.209 1.370
1.674 -0.975 3.559
ATOMIC_POSITIONS crystal
N 0.000 0.500 0.000
N 0.000 0.000 0.500
N 0.500 0.000 0.000
Os 0.000 0.500 0.500
Os 0.500 0.500 0.000
Os 0.500 0.000 0.500
```

Run D
Here is OsN after structural relaxation from OQMD via LeMat-Bulk. Energies are from PBE. Values from VASP.

Structure (Quantum ESPRESSO input):
```
&SYSTEM
  ibrav = 0, nat = 2, ntyp = 2
/
ATOMIC_SPECIES
N 14.01 N.upf
Os 190.23 Os.upf
CELL_PARAMETERS angstrom
-1.591 -2.699 -0.839
-2.872 0.209 -1.492
-0.266 -0.820 -3.127
ATOMIC_POSITIONS crystal
N 0.000 0.000 0.000
Os 0.250 0.250 0.250
```

Least stable structure: run B

Run A
Here is ZnSiPN after structural relaxation from OQMD via LeMat-Bulk. Energies are from PBE. Values from VASP.

Structure (Quantum ESPRESSO input):
```
&SYSTEM
  ibrav = 0, nat = 8, ntyp = 4
/
ATOMIC_SPECIES
Si 28.09 Si.upf
Zn 65.41 Zn.upf
P 30.97 P.upf
N 14.01 N.upf
CELL_PARAMETERS angstrom
0.095 2.923 5.044
-4.644 -1.934 2.947
4.373 -2.938 -2.499
ATOMIC_POSITIONS crystal
Si 0.152 0.402 0.750
Si 0.348 0.098 0.250
Zn 0.646 0.896 0.750
Zn 0.854 0.604 0.250
P 0.250 0.023 0.773
P 0.750 0.477 0.727
N 0.429 0.750 0.179
N 0.071 0.250 0.321
```

Run B
Here is ZnSiPN after structural relaxation from OQMD via LeMat-Bulk. Energies are from PBE. Values from VASP.

Structure (Quantum ESPRESSO input):
```
&SYSTEM
  ibrav = 0, nat = 8, ntyp = 4
/
ATOMIC_SPECIES
N 14.01 N.upf
Zn 65.41 Zn.upf
P 30.97 P.upf
Si 28.09 Si.upf
CELL_PARAMETERS angstrom
0.678 2.386 4.293
-2.477 -3.598 2.346
4.804 -1.751 -2.403
ATOMIC_POSITIONS crystal
N 0.889 0.076 0.249
N 0.076 0.889 0.749
Zn 0.499 0.193 0.002
Zn 0.193 0.499 0.502
P 0.382 0.653 0.250
P 0.653 0.382 0.750
Si 0.807 0.001 0.499
Si 0.001 0.807 0.999
```

Least stable structure: run A

Run A
Here is PaN2 after structural relaxation from OQMD via LeMat-Bulk. Energies are from PBE. Values from VASP.

Structure (Quantum ESPRESSO input):
```
&SYSTEM
  ibrav = 0, nat = 6, ntyp = 2
/
ATOMIC_SPECIES
Pa 231.04 Pa.upf
N 14.01 N.upf
CELL_PARAMETERS angstrom
-2.749 -5.156 -3.444
-1.667 -5.728 3.227
-6.527 -1.597 0.921
ATOMIC_POSITIONS crystal
Pa 0.500 0.500 0.500
Pa 0.250 0.250 0.250
N 0.875 0.375 0.375
N 0.375 0.875 0.375
N 0.375 0.375 0.875
N 0.375 0.375 0.375
```

Run B
Here is PaN2 after structural relaxation from OQMD via LeMat-Bulk. Energies are from PBE. Values from VASP.

Structure (Quantum ESPRESSO input):
```
&SYSTEM
  ibrav = 0, nat = 3, ntyp = 2
/
ATOMIC_SPECIES
N 14.01 N.upf
Pa 231.04 Pa.upf
CELL_PARAMETERS angstrom
-1.698 1.698 3.068
1.698 -1.698 3.068
1.698 1.698 -3.068
ATOMIC_POSITIONS crystal
N 0.386 0.386 0.000
N 0.614 0.614 0.000
Pa 0.000 0.000 0.000
```

Least stable structure: run A